Density functional theory data (GGA-PBE) for an optimized crystal structure of NdIn2Hg3.

Calculated density   10.5 g/cm³
Energy relative to the elements   -0.268 eV/atom
Space-group type   Cmmm, No. 65

Lattice parameters (Å, degrees): 4.841 4.749 7.130 109.45 90.00 90.00
Sites, in units of the cell vectors:
Hg 0.500 0.500 0.000
Hg 0.500 0.837 0.674
Hg 0.500 0.163 0.326
In 0.000 0.678 0.355
In 0.000 0.322 0.645
Nd 0.000 0.000 0.000

Density functional theory data (GGA-PBE) for an optimized crystal structure of Nd2InHg.

Calculated density   8.6 g/cm³
Energy relative to the elements   -0.471 eV/atom
Space-group type   Fm-3m, No. 225

Lattice parameters (Å, degrees): 5.474 5.474 5.474 60.00 60.00 60.00
Sites, in units of the cell vectors:
Nd 0.000 0.000 0.000
Nd 0.500 0.500 0.500
Hg 0.250 0.250 0.250
In 0.750 0.750 0.750

Density functional theory data (GGA-PBE) for an optimized crystal structure of NdInHg2.

Calculated density   10.4 g/cm³
Energy relative to the elements   -0.306 eV/atom
Space-group type   P4/mmm, No. 123

Lattice parameters (Å, degrees): 3.771 3.771 7.390 90.00 90.00 90.00
Sites, in units of the cell vectors:
Hg 0.000 0.000 0.261
Hg 0.000 0.000 0.739
In 0.500 0.500 0.500
Nd 0.500 0.500 0.000

Density functional theory data (GGA-PBE) for an optimized crystal structure of NdIn2Hg6.

Calculated density   11.2 g/cm³
Energy relative to the elements   -0.159 eV/atom
Space-group type   C2/m, No. 12

Lattice parameters (Å, degrees): 4.899 6.531 8.510 67.44 81.85 68.32
Sites, in units of the cell vectors:
Hg 0.679 0.647 0.500
Hg 0.826 0.162 0.833
Hg 0.174 0.838 0.167
Hg 0.321 0.353 0.500
Hg 0.826 0.494 0.167
Hg 0.174 0.506 0.833
Nd 0.000 0.000 0.500
In 0.500 0.839 0.822
In 0.500 0.161 0.178

Density functional theory data (GGA-PBE) for an optimized crystal structure of NdIn2Hg5.

Calculated density   11.1 g/cm³
Energy relative to the elements   -0.213 eV/atom
Energy above the most stable polymorph in this dataset   0 meV/atom
Space-group type   I4/mmm, No. 139

Lattice parameters (Å, degrees): 4.823 4.823 9.479 104.74 104.74 90.00
Sites, in units of the cell vectors:
Hg 0.627 0.127 0.254
Hg 0.127 0.627 0.254
Hg 0.500 0.500 0.000
Hg 0.373 0.873 0.746
Hg 0.873 0.373 0.746
In 0.757 0.757 0.513
In 0.243 0.243 0.487
Nd 0.000 0.000 0.000

Density functional theory data (GGA-PBE) for an optimized crystal structure of Nd5InHg.

Calculated density   7.7 g/cm³
Energy relative to the elements   -0.155 eV/atom
Space-group type   C2/c, No. 15

Lattice parameters (Å, degrees): 6.133 6.133 12.221 99.89 99.89 87.81
Sites, in units of the cell vectors:
Nd 0.765 0.490 0.554
Nd 0.510 0.235 0.946
Nd 0.940 0.525 0.859
Nd 0.525 0.940 0.359
Nd 0.490 0.765 0.054
Nd 0.026 0.974 0.750
Nd 0.060 0.475 0.141
Nd 0.235 0.510 0.446
Nd 0.475 0.060 0.641
Nd 0.974 0.026 0.250
In 0.591 0.409 0.250
In 0.409 0.591 0.750
Hg 0.000 0.000 0.500
Hg 0.000 0.000 0.000